Entry 1:
HoHfTc, optimized geometry, DFT GGA-PBE; offset from the most stable computed form = 0 meV/atom; formation enthalpy at 0 K = -0.1799 eV per atom; space-group type = No. 107; DFT total energy = -8.48 eV/atom
1.0
-1.6894 1.6894 5.7734
1.6894 -1.6894 5.7734
1.6894 1.6894 -5.7734
Ho Hf Tc
1 1 1
Direct
0.0000 0.0000 0.0000
0.2740 0.2740 0.0000
0.6586 0.6586 0.0000

---

Entry 2:
SmNpTe3, optimized geometry, DFT GGA-PBE; offset from the most stable computed form = 0 meV/atom; space-group type = No. 62; formation energy (no corrections) = -965 meV/atom; DFT total energy = -6.38 eV/atom
1.0
8.2684 0.0000 0.0000
0.0000 11.3371 0.0000
0.0000 0.0000 7.3155
Sm Np Te
4 4 12
Direct
0.1231 0.2500 0.0545
0.3769 0.7500 0.5545
0.6231 0.2500 0.4455
0.8769 0.7500 0.9455
0.0000 0.0000 0.5000
0.0000 0.5000 0.5000
0.5000 0.0000 0.0000
0.5000 0.5000 0.0000
0.0496 0.7500 0.3374
0.1753 0.5821 0.8440
0.1753 0.9179 0.8440
0.3247 0.0821 0.3440
0.3247 0.4179 0.3440
0.4504 0.2500 0.8374
0.5496 0.7500 0.1626
0.6753 0.5821 0.6560
0.6753 0.9179 0.6560
0.8247 0.0821 0.1560
0.8247 0.4179 0.1560
0.9504 0.2500 0.6626

---

Entry 3:
ZrTc2, optimized geometry, DFT GGA-PBE; offset from the most stable computed form = 739 meV/atom; formation enthalpy at 0 K = 0.4277 eV per atom; space-group type = No. 189; DFT total energy = -9.33 eV/atom
1.0
6.5406 0.0000 0.0000
-3.2703 5.6643 0.0000
0.0000 0.0000 4.3374
Zr Tc
3 6
Direct
0.0000 0.0000 0.0000
0.3333 0.6667 0.5000
0.6667 0.3333 0.5000
0.0000 0.2336 0.5000
0.0000 0.5161 0.0000
0.2336 0.0000 0.5000
0.4839 0.4839 0.0000
0.5161 0.0000 0.0000
0.7664 0.7664 0.5000

---

Entry 4:
YAs, optimized geometry, DFT GGA-PBE; formation enthalpy at 0 K = -1.1463 eV per atom; space-group type = No. 65; DFT total energy = -6.70 eV/atom
1.0
2.1845 -2.8813 0.0000
2.1845 2.8813 0.0000
0.0000 0.0000 3.7779
Y As
1 1
Direct
0.0000 0.0000 0.0000
0.5000 0.5000 0.5000

---

Entry 5:
GeBiS2, optimized geometry, DFT GGA-PBE; offset from the most stable computed form = 19 meV/atom; space-group type = No. 160; formation energy (no corrections) = -125 meV/atom; DFT total energy = -4.31 eV/atom
1.0
1.8594 1.0735 7.5680
-1.8594 1.0735 7.5680
0.0000 -2.1470 7.5680
Ge Bi S
1 1 2
Direct
0.0000 0.0000 0.0000
0.8294 0.8294 0.8294
0.4131 0.4131 0.4131
0.6039 0.6039 0.6039

---

Entry 6:
InAsSN2, optimized geometry, DFT GGA-PBE; offset from the most stable computed form = 0 meV/atom; space-group type = No. 123; formation energy (no corrections) = 989 meV/atom; DFT total energy = -4.64 eV/atom
1.0
3.7976 0.0000 0.0000
0.0000 3.7976 0.0000
0.0000 0.0000 5.3294
In As S N
1 1 1 2
Direct
0.0000 0.0000 0.0000
0.5000 0.5000 0.5000
0.5000 0.5000 0.0000
0.0000 0.5000 0.5000
0.5000 0.0000 0.5000

---

Entry 7:
La2YPt, optimized geometry, DFT GGA-PBE; offset from the most stable computed form = 229 meV/atom; formation enthalpy at 0 K = -0.4201 eV per atom; space-group type = No. 122; DFT total energy = -6.01 eV/atom
1.0
-4.4235 4.4235 3.2347
4.4235 -4.4235 3.2347
4.4235 4.4235 -3.2347
La Y Pt
4 2 2
Direct
0.0587 0.6250 0.9337
0.3750 0.3087 0.4337
0.6913 0.1250 0.0663
0.8750 0.9413 0.5663
0.2500 0.7500 0.5000
0.5000 0.5000 0.0000
0.0000 0.0000 0.0000
0.7500 0.2500 0.5000

---

Entry 8:
Al2SnIr, optimized geometry, DFT GGA-PBE; formation enthalpy at 0 K = -0.0145 eV per atom; space-group type = No. 122; DFT total energy = -5.10 eV/atom
1.0
-3.9840 3.9840 2.5760
3.9840 -3.9840 2.5760
3.9840 3.9840 -2.5760
Al Sn Ir
4 2 2
Direct
0.0493 0.6250 0.9243
0.3750 0.2993 0.4243
0.7007 0.1250 0.0757
0.8750 0.9507 0.5757
0.2500 0.7500 0.5000
0.5000 0.5000 0.0000
0.0000 0.0000 0.0000
0.7500 0.2500 0.5000

---

Entry 9:
CsBeCu2I6, optimized geometry, DFT GGA-PBE; space-group type = No. 15; formation energy (no corrections) = -486 meV/atom; DFT total energy = -2.69 eV/atom
1.0
7.9015 -7.3403 0.0000
7.9015 7.3403 0.0000
-3.4565 0.0000 7.0952
Cs Be Cu I
2 2 4 12
Direct
0.1090 0.8910 0.7500
0.8910 0.1090 0.2500
0.2539 0.7461 0.2500
0.7461 0.2539 0.7500
0.2281 0.3705 0.8207
0.3705 0.2281 0.3207
0.6295 0.7719 0.6793
0.7719 0.6295 0.1793
0.0204 0.7205 0.2078
0.2018 0.3505 0.4731
0.2795 0.9796 0.2922
0.3029 0.6161 0.9708
0.3505 0.2018 0.9731
0.3839 0.6971 0.5292
0.6161 0.3029 0.4708
0.6495 0.7982 0.0269
0.6971 0.3839 0.0292
0.7205 0.0204 0.7078
0.7982 0.6495 0.5269
0.9796 0.2795 0.7922

---

Entry 10:
NaMgN3, optimized geometry, DFT GGA-PBE; space-group type = No. 221; formation energy (no corrections) = 2251 meV/atom; DFT total energy = -3.33 eV/atom
1.0
4.1700 0.0000 0.0000
0.0000 4.1700 0.0000
0.0000 0.0000 4.1700
Na Mg N
1 1 3
Direct
0.0000 0.0000 0.0000
0.5000 0.5000 0.5000
0.0000 0.0000 0.5000
0.0000 0.5000 0.0000
0.5000 0.0000 0.0000

---

Entry 11:
TaCS2Cl, optimized geometry, DFT GGA-PBE; offset from the most stable computed form = 0 meV/atom; space-group type = No. 123; formation energy (no corrections) = 946 meV/atom; DFT total energy = -5.29 eV/atom
1.0
4.7654 0.0000 0.0000
0.0000 4.7654 0.0000
0.0000 0.0000 4.8694
Ta C S Cl
1 1 2 1
Direct
0.0000 0.0000 0.0000
0.5000 0.5000 0.5000
0.0000 0.5000 0.0000
0.5000 0.0000 0.0000
0.0000 0.0000 0.5000

---

Entry 12:
CaH2Au2, optimized geometry, DFT GGA-PBE; offset from the most stable computed form = 0 meV/atom; space-group type = No. 127; DFT total energy = -3.34 eV/atom
1.0
6.3828 0.0000 0.0000
0.0000 6.3828 0.0000
0.0000 0.0000 3.7620
Ca H Au
2 4 4
Direct
0.0000 0.0000 0.0000
0.5000 0.5000 0.0000
0.1584 0.3416 0.0000
0.3416 0.8416 0.0000
0.6584 0.1584 0.0000
0.8416 0.6584 0.0000
0.1580 0.3420 0.5000
0.3420 0.8420 0.5000
0.6580 0.1580 0.5000
0.8420 0.6580 0.5000

---

Entry 13:
Tb2CuSi3Pt4, optimized geometry, DFT GGA-PBE; space-group type = No. 115; formation energy (no corrections) = -1009 meV/atom; DFT total energy = -6.39 eV/atom
1.0
4.2127 0.0000 0.0000
0.0000 4.2127 0.0000
0.0000 0.0000 9.9024
Tb Cu Si Pt
2 1 3 4
Direct
0.0000 0.5000 0.2405
0.5000 0.0000 0.7595
0.5000 0.5000 0.0000
0.0000 0.0000 0.0000
0.0000 0.5000 0.6316
0.5000 0.0000 0.3684
0.0000 0.0000 0.5000
0.0000 0.5000 0.8671
0.5000 0.0000 0.1329
0.5000 0.5000 0.5000

---

Entry 14:
TlFeSi2, optimized geometry, DFT GGA-PBE; offset from the most stable computed form = 0 meV/atom; space-group type = No. 12; formation energy (no corrections) = 132 meV/atom; DFT total energy = -5.29 eV/atom
1.0
3.3279 -1.9215 0.0000
3.3279 1.9215 0.0000
-2.2071 0.0000 6.1794
Tl Fe Si
1 1 2
Direct
0.0000 0.0000 0.0000
0.5000 0.5000 0.5000
0.1992 0.1992 0.5981
0.8008 0.8008 0.4019

---

Entry 15:
RbMoHBr2, optimized geometry, DFT GGA-PBE; space-group type = No. 123; DFT total energy = -2.53 eV/atom
1.0
6.4052 0.0000 0.0000
0.0000 6.4052 0.0000
0.0000 0.0000 6.6860
Rb Mo H Br
1 1 1 2
Direct
0.0000 0.0000 0.0000
0.0000 0.0000 0.5000
0.5000 0.5000 0.5000
0.0000 0.5000 0.0000
0.5000 0.0000 0.0000

---

Entry 16:
Tb12SmCo6, optimized geometry, DFT GGA-PBE; formation enthalpy at 0 K = -0.1246 eV per atom; space-group type = No. 204; DFT total energy = -5.54 eV/atom
1.0
-4.9062 4.9062 4.9062
4.9062 -4.9062 4.9062
4.9062 4.9062 -4.9062
Tb Sm Co
12 1 6
Direct
0.1152 0.8058 0.3094
0.1942 0.3094 0.5036
0.1942 0.6906 0.8848
0.3094 0.1152 0.8058
0.3094 0.5036 0.1942
0.4964 0.8058 0.6906
0.5036 0.1942 0.3094
0.6906 0.4964 0.8058
0.6906 0.8848 0.1942
0.8058 0.3094 0.1152
0.8058 0.6906 0.4964
0.8848 0.1942 0.6906
0.0000 0.0000 0.0000
0.1130 0.6130 0.5000
0.3870 0.5000 0.8870
0.5000 0.1130 0.6130
0.5000 0.8870 0.3870
0.6130 0.5000 0.1130
0.8870 0.3870 0.5000

---

Entry 17:
Nb2NiRh2, optimized geometry, DFT GGA-PBE; formation enthalpy at 0 K = -0.3285 eV per atom; space-group type = No. 12; DFT total energy = -8.45 eV/atom
1.0
4.3339 -1.9557 0.0000
4.3339 1.9557 0.0000
-4.2474 0.0000 4.4874
Nb Ni Rh
2 1 2
Direct
0.0788 0.0788 0.3596
0.9212 0.9212 0.6404
0.5000 0.5000 0.0000
0.2981 0.2981 0.2036
0.7019 0.7019 0.7964

---

Entry 18:
PmNdSc2, optimized geometry, DFT GGA-PBE; offset from the most stable computed form = 32 meV/atom; formation enthalpy at 0 K = 0.0810 eV per atom; space-group type = No. 160; DFT total energy = -5.46 eV/atom
1.0
1.7449 1.0074 11.1191
-1.7449 1.0074 11.1191
0.0000 -2.0148 11.1191
Pm Nd Sc
1 1 2
Direct
0.0000 0.0000 0.0000
0.1662 0.1662 0.1662
0.5827 0.5827 0.5827
0.7500 0.7500 0.7500

---

Entry 19:
TlAg2SbBr6, optimized geometry, DFT GGA-PBE; space-group type = No. 146; formation energy (no corrections) = -525 meV/atom; DFT total energy = -2.75 eV/atom
1.0
3.8049 2.1967 6.8993
-3.8049 2.1967 6.8993
0.0000 -4.3935 6.8993
Tl Ag Sb Br
1 2 1 6
Direct
0.0000 0.0000 0.0000
0.2463 0.2463 0.2463
0.6755 0.6755 0.6755
0.4855 0.4855 0.4855
0.0917 0.7053 0.4537
0.2937 0.5680 0.8792
0.4537 0.0917 0.7053
0.5680 0.8792 0.2937
0.7053 0.4537 0.0917
0.8792 0.2937 0.5680

---

Entry 20:
Ca2CdSi, optimized geometry, DFT GGA-PBE; space-group type = No. 166; formation energy (no corrections) = -97 meV/atom; DFT total energy = -2.68 eV/atom
1.0
1.8650 1.0767 9.4557
-1.8650 1.0767 9.4557
0.0000 -2.1535 9.4557
Ca Cd Si
2 1 1
Direct
0.2396 0.2396 0.2396
0.7604 0.7604 0.7604
0.0000 0.0000 0.0000
0.5000 0.5000 0.5000

---

Entry 21:
LiZrMo2, optimized geometry, DFT GGA-PBE; offset from the most stable computed form = 28 meV/atom; formation enthalpy at 0 K = 0.2187 eV per atom; space-group type = No. 35; DFT total energy = -7.81 eV/atom
1.0
1.5994 -2.3426 0.0000
1.5994 2.3426 0.0000
0.0000 0.0000 9.5857
Li Zr Mo
1 1 2
Direct
0.0000 0.0000 0.0000
0.5000 0.5000 0.2877
0.0000 0.0000 0.5390
0.5000 0.5000 0.7531

---

Entry 22:
Np2Ga6Ag, optimized geometry, DFT GGA-PBE; formation enthalpy at 0 K = 0.0748 eV per atom; space-group type = No. 65; DFT total energy = -5.14 eV/atom
1.0
2.9620 -4.1249 0.0000
2.9620 4.1249 0.0000
0.0000 0.0000 7.6722
Np Ga Ag
2 6 1
Direct
0.0000 0.0000 0.2497
0.0000 0.0000 0.7503
0.0000 0.5000 0.0000
0.0000 0.5000 0.5000
0.5000 0.0000 0.0000
0.5000 0.0000 0.5000
0.5000 0.5000 0.1708
0.5000 0.5000 0.8292
0.5000 0.5000 0.5000

---

Entry 23:
K2Ba2Ca, optimized geometry, DFT GGA-PBE; offset from the most stable computed form = 13 meV/atom; formation enthalpy at 0 K = 0.2379 eV per atom; space-group type = No. 127; DFT total energy = -1.37 eV/atom
1.0
10.0490 0.0000 0.0000
0.0000 10.0490 0.0000
0.0000 0.0000 6.2017
K Ba Ca
4 4 2
Direct
0.1289 0.3711 0.0000
0.3711 0.8711 0.0000
0.6289 0.1289 0.0000
0.8711 0.6289 0.0000
0.1799 0.6799 0.5000
0.3201 0.1799 0.5000
0.6799 0.8201 0.5000
0.8201 0.3201 0.5000
0.0000 0.0000 0.0000
0.5000 0.5000 0.0000

---

Entry 24:
TaHgP, optimized geometry, DFT GGA-PBE; offset from the most stable computed form = 517 meV/atom; formation enthalpy at 0 K = 0.4814 eV per atom; space-group type = No. 216; DFT total energy = -5.37 eV/atom
1.0
0.0000 3.0618 3.0618
3.0618 0.0000 3.0618
3.0618 3.0618 0.0000
Ta Hg P
1 1 1
Direct
0.0000 0.0000 0.0000
0.5000 0.5000 0.5000
0.7500 0.7500 0.7500

---

Entry 25:
CeHfTi2O8, optimized geometry, DFT GGA-PBE; space-group type = No. 82; formation energy (no corrections) = -3212 meV/atom; DFT total energy = -9.16 eV/atom
1.0
-2.5409 2.5409 5.4126
2.5409 -2.5409 5.4126
2.5409 2.5409 -5.4126
Ce Hf Ti O
1 1 2 8
Direct
0.0000 0.0000 0.0000
0.2500 0.7500 0.5000
0.5000 0.5000 0.0000
0.7500 0.2500 0.5000
0.0202 0.0679 0.4274
0.2430 0.6731 0.0965
0.3269 0.4234 0.5699
0.4071 0.9798 0.0476
0.5766 0.1465 0.9035
0.6405 0.5929 0.5726
0.8535 0.7570 0.4301
0.9321 0.3595 0.9524